(1)
Below is an optimized crystal structure of CaZn6, with properties calculated at the PBE level.

The structure in POSCAR format:
```
CaZn6
1.0
8.3463 0.0000 0.0000
0.0000 5.3706 0.0000
0.0000 0.0000 10.7027
Ca Zn
4 24
Direct
0.2404 0.2500 0.0611
0.2596 0.7500 0.5611
0.7404 0.2500 0.4389
0.7596 0.7500 0.9389
0.0663 0.0134 0.3101
0.0663 0.4866 0.3101
0.0667 0.7500 0.0931
0.0932 0.2500 0.5209
0.1367 0.7500 0.8580
0.1872 0.2500 0.7557
0.3128 0.7500 0.2557
0.3633 0.2500 0.3580
0.4068 0.7500 0.0209
0.4333 0.2500 0.5931
0.4337 0.5134 0.8101
0.4337 0.9866 0.8101
0.5663 0.0134 0.1899
0.5663 0.4866 0.1899
0.5667 0.7500 0.4069
0.5932 0.2500 0.9791
0.6367 0.7500 0.6420
0.6872 0.2500 0.7443
0.8128 0.7500 0.2443
0.8633 0.2500 0.1420
0.9068 0.7500 0.4791
0.9333 0.2500 0.9069
0.9337 0.5134 0.6899
0.9337 0.9866 0.6899
```

Values from the calculation:
Its formation energy is -0.191 eV per atom. The value obtained for the size of the total moment is 0.00 μB per cell. For the energy, the calculation gives -1.57 eV/atom. As for the symmetry: No. 62.

(2)
Below is an optimized crystal structure of LaTm2ZrSc4, with properties calculated at the PBE level.

The structure in POSCAR format:
```
LaTm2ZrSc4
1.0
5.4426 0.0000 0.0000
0.0000 5.4426 0.0000
0.0000 0.0000 7.2690
La Tm Zr Sc
1 2 1 4
Direct
0.0000 0.0000 0.0000
0.0000 0.0000 0.5000
0.5000 0.5000 0.0000
0.5000 0.5000 0.5000
0.0000 0.5000 0.2703
0.0000 0.5000 0.7297
0.5000 0.0000 0.2703
0.5000 0.0000 0.7297
```

Values from the calculation:
Its formation energy is 0.102 eV per atom. The value obtained for the size of the total moment is 0.00 μB per cell. For the energy, the calculation gives -5.87 eV/atom. As for the symmetry: No. 123.

(3)
Below is an optimized crystal structure of SrTl2Sb, with properties calculated at the PBE level.

The structure in POSCAR format:
```
SrTl2Sb
1.0
4.0316 0.0000 0.0000
0.0000 4.4556 0.0000
0.0000 0.0000 7.1650
Sr Tl Sb
1 2 1
Direct
0.0000 0.0000 0.0000
0.0000 0.0000 0.5207
0.5000 0.5000 0.2978
0.5000 0.5000 0.7551
```

Values from the calculation:
The formation energy without anion corrections comes out at -126 kJ/mol of formula units. The value obtained for the size of the total moment is 0.00 μB per cell. For the energy, the calculation gives -2.96 eV/atom. As for the symmetry: No. 25.

(4)
Below is an optimized crystal structure of CeDyHoTm, with properties calculated at the PBE level.

The structure in POSCAR format:
```
CeDyHoTm
1.0
0.0000 3.9742 3.9742
3.9742 0.0000 3.9742
3.9742 3.9742 0.0000
Ce Dy Ho Tm
1 1 1 1
Direct
0.0000 0.0000 0.0000
0.2500 0.2500 0.2500
0.5000 0.5000 0.5000
0.7500 0.7500 0.7500
```

Values from the calculation:
Its formation energy is 0.166 eV per atom. The value obtained for the size of the total moment is 1.10 μB per cell. For the energy, the calculation gives -4.73 eV/atom. As for the symmetry: No. 216.

- Which formula does entry 3 have?
  SrTl2Sb